Compound: Nd2MnSbO6
Source: Alexandria via LeMat-Bulk
Functional: GGA+U
Structure: optimized geometry

Properties
symmetry = P4mm (99)
total moment = 4.00 μB per cell
E = -72.7 eV/f.u.

Cell and atoms, written as extended XYZ:
```
10
Lattice="5.2458 0.0000 0.0000 0.0000 5.4207 0.0000 0.0000 0.0000 5.4207" Properties=species:S:1:pos:R:3 pbc="T T T"
Nd 0.0796 2.7103 0.0000
Nd 0.0796 0.0000 2.7103
Mn 3.1958 2.7103 2.7103
Sb 3.2444 0.0000 0.0000
O 3.8563 1.4224 1.4224
O 3.8563 1.4224 3.9983
O 1.1021 2.7103 2.7103
O 0.1999 0.0000 0.0000
O 3.8563 3.9983 3.9983
O 3.8563 3.9983 1.4224
```